Record 1
# Ba3GeCl2

A geometry-optimized Ba3GeCl2 structure (PBE, Alexandria).

Its crystal system is orthorhombic. The calculated density is 4.027 g/cm³. As for the energy relative to the elements, uncorrected: -1504 meV/atom. The space group is No. 70.

Unit cell a=8.2316 b=8.2316 c=15.1128 alpha=100.45 beta=100.45 gamma=109.53
Closest atoms and distances in Å follow each position.
Fractional coordinates of all 24 atoms:
Ba (0.1603, 0.6790, 0.8250)  2 Ge 3.24, 4 Cl 3.39-3.50
Ba (0.6648, 0.1460, 0.8250)  2 Ge 3.24, 4 Cl 3.39-3.50
Ba (0.0897, 0.0710, 0.6750)  2 Ge 3.24, 4 Cl 3.39-3.50
Ba (0.5852, 0.6040, 0.6750)  2 Ge 3.24, 4 Cl 3.39-3.50
Ba (0.0203, 0.5203, 0.5000)  2 Ge 3.24, 4 Cl 3.37-3.46
Ba (0.4797, 0.9797, 0.5000)  2 Ge 3.24, 4 Cl 3.37-3.46
Ba (0.3960, 0.4148, 0.3250)  2 Ge 3.24, 4 Cl 3.39-3.50
Ba (0.9290, 0.9103, 0.3250)  2 Ge 3.24, 4 Cl 3.39-3.50
Ba (0.8540, 0.3352, 0.1750)  2 Ge 3.24, 4 Cl 3.39-3.50
Ba (0.3210, 0.8397, 0.1750)  2 Ge 3.24, 4 Cl 3.39-3.50
Ba (0.2297, 0.2297, 0.0000)  2 Ge 3.24, 4 Cl 3.37-3.46
Ba (0.7703, 0.7703, 0.0000)  2 Ge 3.24, 4 Cl 3.37-3.46
Ge (0.9166, 0.9166, 0.8331)  6 Ba 3.24
Ge (0.3334, 0.8334, 0.6669)  6 Ba 3.24
Ge (0.1666, 0.6666, 0.3331)  6 Ba 3.24
Ge (0.0834, 0.0834, 0.1669)  6 Ba 3.24
Cl (0.9997, 0.4997, 0.9993)  6 Ba 3.37-3.50
Cl (0.4192, 0.4192, 0.8384)  6 Ba 3.39-3.49
Cl (0.8308, 0.3308, 0.6616)  6 Ba 3.39-3.49
Cl (0.2503, 0.2503, 0.5007)  6 Ba 3.37-3.50
Cl (0.7497, 0.7497, 0.4993)  6 Ba 3.37-3.50
Cl (0.6692, 0.1692, 0.3384)  6 Ba 3.39-3.49
Cl (0.5808, 0.5808, 0.1616)  6 Ba 3.39-3.49
Cl (0.5003, 0.0003, 0.0007)  6 Ba 3.37-3.50

=====

Record 2
# Tm3P2Pd2Rh5

A geometry-optimized Tm3P2Pd2Rh5 structure (PBE, Alexandria).

Its crystal system is tetragonal. The calculated density is 10.558 g/cm³. The space group is No. 139. For the uncorrected energy, the calculation gives -6.9332 eV per atom.

Unit cell a=3.9623 b=3.9623 c=13.2830 alpha=98.58 beta=98.58 gamma=90.00
Closest atoms and distances in Å follow each position.
Fractional coordinates of all 12 atoms:
Tm (0.1678, 0.1677, 0.3355)  5 Pd 2.89-3.13, 4 Rh 2.97, 4 P 2.98
Tm (0.8322, 0.8323, 0.6645)  5 Pd 2.89-3.13, 4 Rh 2.97, 4 P 2.98
Tm (0.0000, 0.0000, 0.0000)  12 Rh 2.80-2.92
P (0.3709, 0.3709, 0.7419)  4 Rh 2.32, 1 Pd 2.39
P (0.6291, 0.6291, 0.2581)  4 Rh 2.32, 1 Pd 2.39
Pd (0.7211, 0.7211, 0.4421)  1 P 2.39
Pd (0.2789, 0.2789, 0.5579)  1 P 2.39
Rh (0.5824, 0.0824, 0.1649)  2 P 2.32
Rh (0.4176, 0.9176, 0.8351)  2 P 2.32
Rh (0.0824, 0.5824, 0.1649)  2 P 2.32
Rh (0.9176, 0.4176, 0.8351)  2 P 2.32
Rh (0.5000, 0.5000, 0.0000)  4 Tm 2.80, 8 Rh 2.92

=====

Record 3
# Sb2Os4F

A geometry-optimized Sb2Os4F structure (PBE, Alexandria).

Its crystal system is tetragonal. The calculated density is 14.084 g/cm³. As for the energy relative to the elements, uncorrected: 1333 meV/atom. The space group is No. 139.

Unit cell a=4.2389 b=4.2389 c=7.3543 alpha=73.25 beta=73.25 gamma=90.00
Closest atoms and distances in Å follow each position.
Fractional coordinates of all 7 atoms:
Sb (0.6358, 0.6358, 0.7284)  5 Os 2.52-2.80
Sb (0.3642, 0.3642, 0.2716)  5 Os 2.52-2.80
Os (0.8233, 0.8233, 0.3535)  1 F 2.37, 1 Sb 2.52
Os (0.1767, 0.1767, 0.6465)  1 F 2.37, 1 Sb 2.52
Os (0.0000, 0.5000, 0.0000)  2 F 2.12
Os (0.5000, 0.0000, 0.0000)  2 F 2.12
F (0.0000, 0.0000, 0.0000)  6 Os 2.12-2.37

=====

Record 4
# BaYSb2

A geometry-optimized BaYSb2 structure (PBE, Alexandria).

The energy above the lowest structure with this stoichiometry is 0.785 eV/atom. Its crystal system is tetragonal. The calculated density is 5.468 g/cm³. As for the energy relative to the elements, uncorrected: -168 meV/atom. The space group is No. 99.

Unit cell a=3.5518 b=3.5518 c=11.3090 alpha=90.00 beta=90.00 gamma=90.00
Closest atoms and distances in Å follow each position.
Fractional coordinates of all 4 atoms:
Ba (0.5000, 0.5000, 0.7732)  4 Sb 3.54, 4 Ba 3.55
Sb (0.0000, 0.0000, 0.9936)  4 Ba 3.54, 4 Sb 3.55
Sb (0.5000, 0.5000, 0.2789)  4 Y 3.20, 4 Sb 3.55
Y (0.0000, 0.0000, 0.4543)  4 Sb 3.20, 4 Y 3.55

=====

no.,density of states at the Fermi level (states/eV/f.u.),M_tot (μB per formula unit)
1,2.06,0.0
2,6.77,0.0
3,7.52,0.0
4,2.67,0.0